The following is a DFT calculation (PBE-GGA) of a relaxed TcMoSe2 crystal.

V	65	Å³/f.u.
offset from the most stable computed form	0.413	eV/atom

```
data_TcMoSe2
_cell_length_a 3.114
_cell_length_b 4.341
_cell_length_c 9.651
_cell_angle_alpha 90.00
_cell_angle_beta 90.00
_cell_angle_gamma 90.00
_space_group_name_H-M_alt 'I m m 2'
_space_group_IT_number 44
_space_group_name_Hall 'I 2 -2'
loop_
_atom_site_label
_atom_site_type_symbol
_atom_site_fract_x
_atom_site_fract_y
_atom_site_fract_z
_atom_site_occupancy
Tc1 Tc 0.000 0.000 0.000 1
Mo1 Mo 0.000 0.500 0.778 1
Se1 Se 0.000 0.000 0.505 1
Se2 Se 0.000 0.500 0.285 1
```